This record from the Alexandria database describes an optimized crystal structure of AcVInO6. The functional is PBE+U.

```
9
Lattice="5.407 -0.001 -0.001 2.703 4.682 -0.002 0.002 0.003 5.267" Properties=species:S:1:pos:R:3 pbc="T T T"
O 4.252 1.672 3.739
O 2.026 0.167 3.741
O 3.383 0.167 1.525
O 1.835 2.847 3.740
O 1.156 1.672 1.525
O 3.573 2.846 1.524
In 5.407 3.122 2.632
V 2.703 1.562 2.632
Ac 5.408 0.003 5.265
```

Results
Space-group type ... No. 149

=====

This record from the Alexandria database describes an optimized crystal structure of Ac2VInO6. The functional is PBE+U.

```
10
Lattice="5.857 0.000 -0.327 0.000 5.767 0.000 -2.762 -2.883 4.344" Properties=species:S:1:pos:R:3 pbc="T T T"
O -1.249 -1.480 3.820
O -1.249 1.480 3.820
O 0.616 2.883 2.093
O 2.478 0.000 1.924
O 4.344 4.363 0.197
O 4.344 1.403 0.197
In 0.000 2.883 0.000
Ac 3.074 2.883 1.910
Ac 0.021 0.000 2.107
V 2.928 0.000 -0.163
```

Results
Space-group type ... No. 12

=====

This record from the Alexandria database describes an optimized crystal structure of AcV2InO8. The functional is PBE+U.

```
12
Lattice="-0.686 0.294 -5.021 3.017 -2.619 -3.131 -3.877 -6.497 -2.416" Properties=species:S:1:pos:R:3 pbc="T T T"
O -0.395 -6.477 -4.603
O 0.673 -0.903 -2.711
O -1.893 -5.381 -6.922
O -0.922 -2.442 -4.295
O 1.351 -4.312 -4.689
O -2.662 -4.610 -4.158
O -0.116 -3.243 -7.039
O -2.219 -7.919 -7.858
V -1.135 -6.586 -7.928
V -0.411 -2.236 -2.641
Ac 0.000 0.000 0.000
In -0.773 -4.411 -5.284
```

Results
Space-group type ... No. 155

=====

This record from the Alexandria database describes an optimized crystal structure of AcInWO6. The functional is PBE+U.

```
18
Lattice="-2.109 -0.225 -5.086 4.811 -2.453 1.099 -5.117 -8.907 2.516" Properties=species:S:1:pos:R:3 pbc="T T T"
O -0.913 -4.896 -3.360
O -1.489 -7.454 -0.794
O -0.927 -4.131 -0.677
O -1.013 -10.141 0.097
O -1.502 -6.689 1.888
O 0.858 -2.933 -2.242
O -3.273 -8.652 0.771
O -3.034 -3.392 -2.349
O -1.403 -1.444 -1.568
O 0.619 -8.193 0.878
O -1.071 -2.371 -4.178
O -1.344 -9.214 2.706
In -3.640 -7.648 -1.138
In 1.225 -3.937 -0.334
Ac -2.559 -4.453 1.258
Ac 0.000 0.000 0.000
W -1.082 -3.194 -2.396
W -1.334 -8.390 0.924
```

Results
Space-group type ... No. 163

=====

Record order is preserved below.
Raw total energy: -6.90, -7.44, -7.23, -7.22 eV/atom